# 1
Material: Pm4Ga12Pd
Method: DFT, PBE-GGA
State: relaxed

Lattice parameters (Å, degrees): 8.7561 8.7561 8.7561 90.00 90.00 90.00
Space group Im-3m (No. 229)
Asymmetric unit:
Pm 0.2500 0.2500 0.2500 x8
Ga 0.0000 0.0000 0.2967 x12
Ga 0.0000 0.2500 0.5000 x12
Pd 0.0000 0.0000 0.0000 x2

Properties
The energy relative to the elements is -0.63 eV/atom. The calculation puts the mass density at 7.5 Mg/m³. Its density of states at the Fermi level is 2.596 states/eV/cell.


# 2
Material: Cs3FeSe3
Method: DFT, PBE-GGA
State: relaxed

Lattice parameters (Å, degrees): 20.8282 7.5952 14.2207 90.00 90.00 90.00
Space group Cmce (No. 64)
Asymmetric unit:
Cs 0.0000 0.1444 0.1685 x8
Cs 0.1758 0.1620 0.8713 x16
Fe 0.0807 0.0000 0.5000 x8
Se 0.0000 0.1963 0.4246 x8
Se 0.1473 0.1485 0.6115 x16

Properties
The calculation puts the mass density at 4.1 Mg/m³. The energy relative to the elements, uncorrected is -0.900 eV/atom. Its density of states at the Fermi level is 19.335 states/eV/cell.


# 3
Material: Hf6N5
Method: DFT, PBE-GGA
State: relaxed

Lattice parameters (Å, degrees): 5.5586 9.6162 5.5603 90.00 109.56 90.00
Space group C2/m (No. 12)
Asymmetric unit:
Hf 0.2437 0.0000 0.2554 x4
Hf 0.2469 0.1715 0.7483 x8
N 0.0000 0.0000 0.5000 x2
N 0.0000 0.1645 0.0000 x4
N 0.0000 0.3326 0.5000 x4

Properties
The calculation puts the mass density at 13.5 Mg/m³. The energy relative to the elements, uncorrected is -1.626 eV/atom. Its density of states at the Fermi level is 7.959 states/eV/cell.


# 4
Material: Ac4GeCl5
Method: DFT, PBE-GGA
State: relaxed

Lattice parameters (Å, degrees): 9.5951 10.1544 7.1553 90.00 90.00 90.00
Space group Pmmn (No. 59, origin choice 2)
Asymmetric unit:
Ac 0.0301 0.2500 0.0222 x4
Ac 0.2500 0.0096 0.6022 x4
Ge 0.2500 0.7500 0.7883 x2
Cl 0.0463 0.5358 0.2553 x8
Cl 0.2500 0.2500 0.3225 x2

Properties
The calculation puts the mass density at 5.5 Mg/m³. As for the energy relative to the lowest polymorph listed for this composition: 135.2 kJ/mol of formula units. The energy relative to the elements, uncorrected is -1.602 eV/atom. Its density of states at the Fermi level is 2.001 states/eV/cell.


# 5
Material: Sm5AsS4
Method: DFT, PBE-GGA
State: relaxed

Lattice parameters (Å, degrees): 4.0626 5.7203 20.2543 90.00 90.00 90.00
Space group Immm (No. 71)
Asymmetric unit:
Sm 0.0000 0.0000 0.0000 x2
Sm 0.0000 0.0000 0.1998 x4
Sm 0.0000 0.0000 0.3978 x4
As 0.0000 0.5000 0.0000 x2
S 0.0000 0.5000 0.2018 x4
S 0.0000 0.5000 0.3993 x4

Properties
The calculation puts the mass density at 6.7 Mg/m³. The energy relative to the elements, uncorrected is -1.935 eV/atom. Its density of states at the Fermi level is 7.686 states/eV/cell.


# 6
Material: Ce4Tl2Zn
Method: DFT, PBE-GGA
State: relaxed

Lattice parameters (Å, degrees): 4.8057 22.6587 3.4854 90.00 90.00 90.00
Space group Cmmm (No. 65)
Asymmetric unit:
Ce 0.0000 0.0620 0.0000 x4
Ce 0.0000 0.3523 0.5000 x4
Tl 0.0000 0.2094 0.0000 x4
Zn 0.0000 0.5000 0.5000 x2

Properties
The energy relative to the elements is -0.07 eV/atom. The calculation puts the mass density at 9.1 Mg/m³. Its density of states at the Fermi level is 39.277 states/eV/cell.


# 7
Material: GaSb2RhS
Method: DFT, PBE-GGA
State: relaxed

Lattice parameters (Å, degrees): 5.2511 5.2511 4.4549 90.00 90.00 90.00
Space group P4/mmm (No. 123)
Asymmetric unit:
Ga 0.0000 0.0000 0.0000 x1
Sb 0.0000 0.5000 0.0000 x2
Rh 0.5000 0.5000 0.5000 x1
S 0.0000 0.0000 0.5000 x1

Properties
The calculation puts the mass density at 6.1 Mg/m³. The energy relative to the elements, uncorrected is 0.869 eV/atom. Its density of states at the Fermi level is 5.621 states/eV/cell.


# 8
Material: LaIn3
Method: DFT, PBE-GGA
State: relaxed

Lattice parameters (Å, degrees): 6.1379 6.1379 6.1379 90.00 90.00 90.00
Space group Pm-3n (No. 223)
Asymmetric unit:
La 0.0000 0.0000 0.0000 x2
In 0.0000 0.2500 0.5000 x6

Properties
The energy relative to the elements is -0.23 eV/atom. The calculation puts the mass density at 6.9 Mg/m³. Its density of states at the Fermi level is 7.019 states/eV/cell.


# 9
Material: CdCo
Method: DFT, PBE-GGA
State: relaxed

Lattice parameters (Å, degrees): 5.0616 4.4238 5.5913 90.00 90.00 90.00
Space group Pnma (No. 62)
Asymmetric unit:
Cd 0.1057 0.2500 0.1255 x4
Co 0.0599 0.2500 0.6123 x4

Properties
The energy relative to the elements is 0.37 eV/atom. The calculation puts the mass density at 9.1 Mg/m³. Its density of states at the Fermi level is 10.260 states/eV/cell.


# 10
Material: Na2Bi2Cl
Method: DFT, PBE-GGA
State: relaxed

Lattice parameters (Å, degrees): 7.9551 7.9551 5.1318 90.00 90.00 90.00
Space group P4/mbm (No. 127)
Asymmetric unit:
Na 0.1822 0.3178 0.0000 x4
Bi 0.1239 0.6239 0.5000 x4
Cl 0.0000 0.0000 0.0000 x2

Properties
The calculation puts the mass density at 5.1 Mg/m³. As for the energy relative to the lowest polymorph listed for this composition: 0.0 kJ/mol of formula units. The energy relative to the elements, uncorrected is -0.469 eV/atom. Its density of states at the Fermi level is 4.737 states/eV/cell.


# 11
Material: Pm5Pr8Mg
Method: DFT, PBE-GGA
State: relaxed

Lattice parameters (Å, degrees): 9.9380 9.9380 10.1765 90.00 90.00 90.00
Space group I-4 (No. 82)
Asymmetric unit:
Pm 0.0000 0.0000 0.0000 x2
Pm 0.1007 0.7939 0.4201 x8
Pr 0.0665 0.6682 0.0859 x8
Pr 0.0859 0.8118 0.7531 x8
Mg 0.0000 0.5000 0.7500 x2

Properties
The energy relative to the elements is 0.22 eV/atom. The calculation puts the mass density at 6.2 Mg/m³. Its density of states at the Fermi level is 40.845 states/eV/cell.


# 12
Material: LaHoEr2Se6
Method: DFT, PBE-GGA
State: relaxed

Lattice parameters (Å, degrees): 7.2810 7.2810 19.3864 90.00 90.00 120.00
Space group R3 (No. 146, hexagonal axes)
Asymmetric unit:
La 0.0000 0.0000 0.0000 x3
Ho 0.0000 0.0000 0.4915 x3
Er 0.0000 0.0000 0.2935 x3
Er 0.0000 0.0000 0.7983 x3
Se 0.0055 0.3111 0.8914 x9
Se 0.0230 0.6353 0.0584 x9

Properties
The calculation puts the mass density at 6.2 Mg/m³. The energy relative to the elements, uncorrected is -1.875 eV/atom. Its density of states at the Fermi level is 0.000 states/eV/cell.


# 13
Material: CaMgBr2
Method: DFT, PBE-GGA
State: relaxed

Lattice parameters (Å, degrees): 3.7251 4.7980 14.6655 90.00 90.00 90.00
Space group Imm2 (No. 44)
Asymmetric unit:
Ca 0.0000 0.0000 0.0000 x2
Mg 0.0000 0.5000 0.7174 x2
Br 0.0000 0.0000 0.5379 x2
Br 0.0000 0.5000 0.3469 x2

Properties
The calculation puts the mass density at 2.8 Mg/m³. As for the energy relative to the lowest polymorph listed for this composition: 54.7 kJ/mol of formula units. The energy relative to the elements, uncorrected is -1.095 eV/atom. Its density of states at the Fermi level is 0.550 states/eV/cell.


# 14
Material: NdAl2Cu6
Method: DFT, PBE-GGA
State: relaxed

Lattice parameters (Å, degrees): 4.2367 6.1281 11.3662 90.00 90.00 90.00
Space group Immm (No. 71)
Asymmetric unit:
Nd 0.0000 0.0000 0.0000 x2
Al 0.0000 0.5000 0.1286 x4
Cu 0.0000 0.1856 0.5000 x4
Cu 0.0000 0.2123 0.2923 x8

Properties
The energy relative to the elements is -0.06 eV/atom. The calculation puts the mass density at 6.5 Mg/m³. Its density of states at the Fermi level is 8.586 states/eV/cell.


# 15
Material: InTeCl
Method: DFT, PBE-GGA
State: relaxed

Lattice parameters (Å, degrees): 7.6267 7.5980 8.5380 90.00 118.12 90.00
Space group P2_1/c (No. 14)
Asymmetric unit:
In 0.0255 0.2057 0.3887 x4
Te 0.2144 0.6301 0.9409 x4
Cl 0.2947 0.0997 0.0764 x4

Properties
The calculation puts the mass density at 4.2 Mg/m³. The energy relative to the elements, uncorrected is -0.683 eV/atom. Its density of states at the Fermi level is 0.000 states/eV/cell.


# 16
Material: BaAl3C
Method: DFT, PBE-GGA
State: relaxed

Lattice parameters (Å, degrees): 6.2702 6.2702 6.2702 90.00 90.00 90.00
Space group Pm-3m (No. 221)
Asymmetric unit:
Ba 0.0000 0.0000 0.0000 x1
Al 0.0000 0.0000 0.5000 x3
C 0.5000 0.5000 0.5000 x1

Properties
The energy relative to the elements is 2.69 eV/atom. The calculation puts the mass density at 1.6 Mg/m³. As for the energy relative to the lowest polymorph listed for this composition: 963.4 kJ/mol of formula units. Its density of states at the Fermi level is 7.232 states/eV/cell.


# 17
Material: Ba2TaTiZn
Method: DFT, PBE-GGA
State: relaxed

Lattice parameters (Å, degrees): 6.1227 6.1227 5.0075 90.00 90.00 90.00
Space group P4/mmm (No. 123)
Asymmetric unit:
Ba 0.0000 0.5000 0.0000 x2
Ta 0.0000 0.0000 0.5000 x1
Ti 0.5000 0.5000 0.5000 x1
Zn 0.5000 0.5000 0.0000 x1

Properties
The energy relative to the elements is 1.32 eV/atom. The calculation puts the mass density at 5.0 Mg/m³. Its density of states at the Fermi level is 7.425 states/eV/cell.